No. 1
VASP calculation (PBE) on TlAgGeTeS2 after structural relaxation.

Output
DFT total energy	-3.630	eV/atom
mass density	6.2	Mg/m³
space-group type	No. 63

abc: 8.1910 8.1910 11.0409
angles: 90.00 90.00 155.48
With the nearest neighbours (Å) after each atom.
Sites, in units of the cell vectors:
Ag1 0.8862 0.1138 0.2500  2 S 2.44
Ag2 0.1138 0.8862 0.7500  2 S 2.44
Ge1 0.5000 0.5000 0.0000  4 S 2.50
Ge2 0.5000 0.5000 0.5000  4 S 2.50
S1 0.8897 0.1103 0.0287  1 Ag 2.44, 2 Ge 2.50
S2 0.8897 0.1103 0.4713  1 Ag 2.44, 2 Ge 2.50
S3 0.1103 0.8897 0.5287  1 Ag 2.44, 2 Ge 2.50
S4 0.1103 0.8897 0.9713  1 Ag 2.44, 2 Ge 2.50
Te1 0.5486 0.4514 0.2500  2 Ge 2.87, 2 Ag 3.13
Te2 0.4514 0.5486 0.7500  2 Ge 2.87, 2 Ag 3.13
Tl1 0.2226 0.7774 0.2500  2 Ag 3.14, 2 Te 3.28, 2 Tl 3.48
Tl2 0.7774 0.2226 0.7500  2 Ag 3.14, 2 Te 3.28, 2 Tl 3.48


No. 2
VASP calculation (PBE) on PuScSn after structural relaxation.

Output
DFT total energy	-8.702	eV/atom
mass density	9.2	Mg/m³
space-group type	No. 194

abc: 5.2720 6.1200 9.1280
angles: 90.00 90.00 90.00
With the nearest neighbours (Å) after each atom.
Sites, in units of the cell vectors:
Pu1 0.5000 0.2500 0.2500  2 Pu 3.06, 6 Sc 3.40-3.41, 6 Sn 3.41
Pu2 0.5000 0.7500 0.2500  2 Pu 3.06, 6 Sc 3.40-3.41, 6 Sn 3.41
Pu3 0.0000 0.2500 0.7500  2 Pu 3.06, 6 Sc 3.40-3.41, 6 Sn 3.41
Pu4 0.0000 0.7500 0.7500  2 Pu 3.06, 6 Sc 3.40-3.41, 6 Sn 3.41
Sc1 0.0000 0.5000 0.0831  5 Sn 3.04-3.06, 6 Pu 3.40-3.41
Sc2 0.0000 0.0000 0.4168  5 Sn 3.04-3.06, 6 Pu 3.40-3.41
Sc3 0.5000 0.5000 0.5832  5 Sn 3.04-3.06, 6 Pu 3.40-3.41
Sc4 0.5000 0.0000 0.9169  5 Sn 3.04-3.06, 6 Pu 3.40-3.41
Sn1 0.0000 0.0000 0.0835  5 Sc 3.04-3.06, 6 Pu 3.41
Sn2 0.0000 0.5000 0.4166  5 Sc 3.04-3.06, 6 Pu 3.41
Sn3 0.5000 0.0000 0.5834  5 Sc 3.04-3.06, 6 Pu 3.41
Sn4 0.5000 0.5000 0.9165  5 Sc 3.04-3.06, 6 Pu 3.41


No. 3
VASP calculation (PBE) on ZnBiAs after structural relaxation.

Output
DFT total energy	-3.010	eV/atom
mass density	6.8	Mg/m³
space-group type	No. 216

abc: 4.9291 4.9291 4.9291
angles: 60.00 60.00 60.00
With the nearest neighbours (Å) after each atom.
Sites, in units of the cell vectors:
As1 0.2500 0.2500 0.2500  4 Bi 3.02
Bi1 0.0000 0.0000 0.0000  4 Zn 3.02, 4 As 3.02
Zn1 0.7500 0.7500 0.7500  4 Bi 3.02